Entry 1:
Compound: ErThSi
Source: OQMD
Functional: GGA-PBE
Structure: relaxed

Cell lengths 6.907, 6.907, 6.907 Å; angles 90.00, 90.00, 90.00 degrees
Space group F-43m (No. 216)
Symmetry-distinct sites (fractional):
1 Er 0.000 0.000 0.000 [4 per cell]
2 Th 0.000 0.000 0.500 [4 per cell]
3 Si 0.250 0.250 0.250 [4 per cell]

Output
- total magnetic moment (μB/f.u.) = 0.00
- crystal system = cubic
- electronic total energy (hartree per atom) = -0.2251

=====

Entry 2:
Compound: La2Hg4PtAu
Source: OQMD
Functional: GGA-PBE
Structure: relaxed

Cell lengths 8.524, 4.382, 10.326 Å; angles 90.00, 90.00, 90.00 degrees
Space group Amm2 (No. 38)
Symmetry-distinct sites (fractional):
1 La 0.000 0.000 0.000 [2 per cell]
2 La 0.500 0.000 0.138 [2 per cell]
3 Hg 0.196 0.000 0.708 [4 per cell]
4 Hg 0.296 0.000 0.433 [4 per cell]
5 Pt 0.000 0.000 0.295 [2 per cell]
6 Au 0.500 0.000 0.844 [2 per cell]

Output
- total magnetic moment (μB/f.u.) = 0.01
- crystal system = orthorhombic
- electronic total energy (hartree per atom) = -0.1147
- formation energy (eV/f.u.) = -4.6

=====

Entry 3:
Compound: Cs2CdTcSe6
Source: OQMD
Functional: GGA-PBE
Structure: relaxed

Cell lengths 6.8694, 6.8694, 41.8532 Å; angles 90.00, 90.00, 120.00 degrees
Space group R-3m (No. 166, hexagonal axes)
Symmetry-distinct sites (fractional):
1 Cs 0.0000 0.0000 0.1149 [6 per cell]
2 Cs 0.0000 0.0000 0.2837 [6 per cell]
3 Cd 0.0000 0.0000 0.4207 [6 per cell]
4 Tc 0.0000 0.0000 0.0000 [3 per cell]
5 Tc 0.0000 0.0000 0.5000 [3 per cell]
6 Se 0.0165 0.5083 0.8690 [18 per cell]
7 Se 0.0202 0.5101 0.2994 [18 per cell]

Output
- total magnetic moment (μB/f.u.) = 0.64
- crystal system = trigonal
- electronic total energy (hartree per atom) = -0.1369

=====

Entry 4:
Compound: Zr3Al3CuNiPd
Source: OQMD
Functional: GGA-PBE
Structure: relaxed

Cell lengths 7.0015, 7.0015, 3.5863 Å; angles 90.00, 90.00, 120.00 degrees
Space group P-6 (No. 174)
Symmetry-distinct sites (fractional):
1 Zr 0.0051 0.6036 0.0000 [3 per cell]
2 Al 0.0016 0.2464 0.5000 [3 per cell]
3 Cu 0.3333 0.6667 0.5000 [1 per cell]
4 Ni 0.0000 0.0000 0.0000 [1 per cell]
5 Pd 0.6667 0.3333 0.5000 [1 per cell]

Output
- total magnetic moment (μB/f.u.) = 0.00
- crystal system = hexagonal
- electronic total energy (hartree per atom) = -0.2319

=====

Entry 5:
Compound: LuGe2Au
Source: OQMD
Functional: GGA-PBE
Structure: relaxed

Cell lengths 6.883, 6.883, 6.883 Å; angles 90.00, 90.00, 90.00 degrees
Space group F-43m (No. 216)
Symmetry-distinct sites (fractional):
1 Lu 0.000 0.000 0.000 [4 per cell]
2 Ge 0.000 0.000 0.500 [4 per cell]
3 Ge 0.250 0.250 0.750 [4 per cell]
4 Au 0.250 0.250 0.250 [4 per cell]

Output
- total magnetic moment (μB/f.u.) = 0.00
- crystal system = cubic
- electronic total energy (hartree per atom) = -0.1673

=====

Entry 6:
Compound: Cd2BMo
Source: OQMD
Functional: GGA-PBE
Structure: relaxed

Cell lengths 6.350, 6.350, 6.350 Å; angles 90.00, 90.00, 90.00 degrees
Space group F-43m (No. 216)
Symmetry-distinct sites (fractional):
1 Cd 0.000 0.000 0.000 [4 per cell]
2 Cd 0.250 0.250 0.250 [4 per cell]
3 B 0.000 0.000 0.500 [4 per cell]
4 Mo 0.250 0.250 0.750 [4 per cell]

Output
- total magnetic moment (μB/f.u.) = 0.67
- crystal system = cubic
- electronic total energy (hartree per atom) = -0.1350